SmAl2Ir2 | PBE-GGA | optimized geometry

Cell and atoms, written as extended XYZ:
```
10
Lattice="4.268 0.000 0.000 0.000 4.268 0.000 0.000 0.000 10.180" Properties=species:S:1:pos:R:3 pbc="T T T"
Al 2.134 0.000 1.241
Al 0.000 0.000 5.090
Al 2.134 2.134 5.090
Al 0.000 2.134 8.939
Ir 0.000 0.000 0.000
Ir 2.134 2.134 0.000
Ir 2.134 0.000 3.740
Ir 0.000 2.134 6.441
Sm 0.000 2.134 2.422
Sm 2.134 0.000 7.759
```

Summary:
* energy relative to the lowest polymorph listed for this composition: 0.00 eV/f.u.
* space-group type: P4/nmm, No. 129
* uncorrected energy: -6.878 eV per atom